No. 1
Tb3Fe8Co: optimized geometry, GGA-PBE.

Total moment, μB per cell: 53.3
Energy relative to the elements, eV per atom: 0.006

```
data_Tb3Fe8Co
_chemical_formula_sum 'Tb9 Fe24 Co3'
_symmetry_space_group_name_H-M 'R 3 m'
_symmetry_Int_Tables_number 160
_symmetry_space_group_name_Hall 'R 3 -2"'
_cell_length_a 5.0468
_cell_length_b 5.0468
_cell_length_c 24.7550
_cell_angle_alpha 90.00
_cell_angle_beta 90.00
_cell_angle_gamma 120.00
loop_
_atom_site_label
_atom_site_fract_x
_atom_site_fract_y
_atom_site_fract_z
Tb1 0.0000 0.0000 0.0000
Tb2 0.0000 0.0000 0.1285
Tb3 0.0000 0.0000 0.6180
Fe1 0.0000 0.0000 0.3116
Fe2 0.0000 0.0000 0.8122
Fe3 0.0007 0.5004 0.5594
Fe4 0.0043 0.5022 0.0647
Co1 0.0000 0.0000 0.4965
```

No. 2
Tb2FeCo2: optimized geometry, GGA-PBE.

Total moment, μB per cell: 13.3
Energy relative to the elements, eV per atom: -0.147

```
data_Tb2FeCo2
_chemical_formula_sum 'Tb8 Fe4 Co8'
_symmetry_space_group_name_H-M 'C 1 2/c 1'
_symmetry_Int_Tables_number 15
_cell_length_a 9.174
_cell_length_b 5.420
_cell_length_c 7.389
_cell_angle_alpha 90.00
_cell_angle_beta 102.75
_cell_angle_gamma 90.00
loop_
_symmetry_equiv_pos_as_xyz
'x,y,z'
'-x,-y,-z'
'-x,y,-z+1/2'
'x,-y,z+1/2'
'x+1/2,y+1/2,z'
'-x+1/2,-y+1/2,-z'
'-x+1/2,y+1/2,-z+1/2'
'x+1/2,-y+1/2,z+1/2'
loop_
_atom_site_label
_atom_site_fract_x
_atom_site_fract_y
_atom_site_fract_z
Tb1 0.149 0.130 0.150
Fe1 0.000 0.384 0.750
Co1 0.133 0.365 0.502
```

No. 3
TbFe7Co5: optimized geometry, GGA-PBE.

Total moment, μB per cell: 49.9
Energy relative to the elements, eV per atom: -0.075

```
data_TbFe7Co5
_chemical_formula_sum 'Tb2 Fe14 Co10'
_symmetry_space_group_name_H-M 'I m m 2'
_symmetry_Int_Tables_number 44
_cell_length_a 4.741
_cell_length_b 8.368
_cell_length_c 8.335
_cell_angle_alpha 90.00
_cell_angle_beta 90.00
_cell_angle_gamma 90.00
loop_
_symmetry_equiv_pos_as_xyz
'x,y,z'
'-x,-y,z'
'-x,y,z'
'x,-y,z'
'x+1/2,y+1/2,z+1/2'
'-x+1/2,-y+1/2,z+1/2'
'-x+1/2,y+1/2,z+1/2'
'x+1/2,-y+1/2,z+1/2'
loop_
_atom_site_label
_atom_site_fract_x
_atom_site_fract_y
_atom_site_fract_z
Tb1 0.000 0.000 0.000
Fe1 0.000 0.000 0.359
Fe2 0.000 0.000 0.643
Fe3 0.000 0.275 0.499
Fe4 0.000 0.358 0.001
Fe5 0.000 0.500 0.729
Co1 0.000 0.500 0.273
Co2 0.250 0.250 0.249
```